# 1
Density functional theory data (GGA-PBEsol) for crystalline NaZr2As3O12 at its relaxed geometry.

The structure belongs to space group R-3c (No. 167, hexagonal axes); the cell edges are 9.2380, 9.2380 and 23.1112 Å and the angles 90.00°, 90.00° and 120.00°. Symmetry generates all atoms from Na at (0.0000, 0.0000, 0.0000), Zr at (0.0000, 0.0000, 0.1426), As at (0.0000, 0.2910, 0.2500), O at (0.0100, 0.1908, 0.1899) and O at (0.0225, 0.1827, 0.9170).

The size of the total moment comes out at 0.0 μB/f.u. The calculation puts the uncorrected energy at -810.1 eV per cell. Its uncorrected formation energy is -2.062 eV per atom.

***

# 2
Density functional theory data (GGA-PBEsol) for crystalline NaAs2Os2 at its relaxed geometry.

The structure belongs to space group I4/mmm (No. 139); the cell edges are 4.3230, 4.3230 and 9.6764 Å and the angles 90.00°, 90.00° and 90.00°. Symmetry generates all atoms from Na at (0.0000, 0.0000, 0.0000), As at (0.0000, 0.5000, 0.2500) and Os at (0.0000, 0.0000, 0.3762).

The energy relative to the elements comes out at 0.269 eV/atom. The size of the total moment comes out at 0.0 μB/f.u. The calculation puts the uncorrected energy at -69.4 eV per cell.

***

# 3
Density functional theory data (GGA-PBEsol) for crystalline NaAsP2S at its relaxed geometry.

The structure belongs to space group P4/mmm (No. 123); the cell edges are 4.7653, 4.7653 and 4.6317 Å and the angles 90.00°, 90.00° and 90.00°. Symmetry generates all atoms from Na at (0.0000, 0.0000, 0.0000), As at (0.5000, 0.5000, 0.5000), P at (0.0000, 0.5000, 0.0000) and S at (0.0000, 0.0000, 0.5000).

The size of the total moment comes out at 0.0 μB/f.u. The calculation puts the uncorrected energy at -15.1 eV per cell. Its uncorrected formation energy is 1.473 eV per atom.

***

# 4
Density functional theory data (GGA-PBEsol) for crystalline NaAsPb3 at its relaxed geometry.

The structure belongs to space group Pm-3m (No. 221); the cell edges are 5.3480, 5.3480 and 5.3480 Å and the angles 90.00°, 90.00° and 90.00°. Symmetry generates all atoms from Na at (0.0000, 0.0000, 0.0000), As at (0.5000, 0.5000, 0.5000) and Pb at (0.0000, 0.0000, 0.5000).

The energy relative to the elements comes out at 0.741 eV/atom. The size of the total moment comes out at 0.0 μB/f.u. The calculation puts the uncorrected energy at -14.8 eV per cell.

***

# 5
Density functional theory data (GGA-PBEsol) for crystalline NaAs2PbSe at its relaxed geometry.

The structure belongs to space group P4/mmm (No. 123); the cell edges are 5.3859, 5.3859 and 5.5550 Å and the angles 90.00°, 90.00° and 90.00°. Symmetry generates all atoms from Na at (0.0000, 0.0000, 0.0000), As at (0.0000, 0.5000, 0.5000), Pb at (0.5000, 0.5000, 0.5000) and Se at (0.5000, 0.5000, 0.0000).

The size of the total moment comes out at 1.3 μB/f.u. The calculation puts the uncorrected energy at -16.7 eV per cell. Its uncorrected formation energy is 0.555 eV per atom.

***

# 6
Density functional theory data (GGA-PBEsol) for crystalline Na2AsPd2 at its relaxed geometry.

The structure belongs to space group P4/mbm (No. 127); the cell edges are 6.3239, 6.3239 and 4.8437 Å and the angles 90.00°, 90.00° and 90.00°. Symmetry generates all atoms from Na at (0.1703, 0.3297, 0.0000), As at (0.0000, 0.0000, 0.5000) and Pd at (0.1521, 0.6521, 0.5000).

The energy relative to the elements comes out at -0.283 eV/atom. The size of the total moment comes out at 0.0 μB/f.u. The calculation puts the uncorrected energy at -42.5 eV per cell.

***

# 7
Density functional theory data (GGA-PBEsol) for crystalline NaAs3Pd at its relaxed geometry.

The structure belongs to space group Pm-3m (No. 221); the cell edges are 4.7963, 4.7963 and 4.7963 Å and the angles 90.00°, 90.00° and 90.00°. Symmetry generates all atoms from Na at (0.0000, 0.0000, 0.0000), As at (0.0000, 0.0000, 0.5000) and Pd at (0.5000, 0.5000, 0.5000).

The energy relative to the elements comes out at 1.258 eV/atom. The size of the total moment comes out at 0.0 μB/f.u. The calculation puts the uncorrected energy at -16.4 eV per cell.

***

# 8
Density functional theory data (GGA-PBEsol) for crystalline NaAs2Pd at its relaxed geometry.

The structure belongs to space group Fm-3m (No. 225); the cell edges are 6.4825, 6.4825 and 6.4825 Å and the angles 90.00°, 90.00° and 90.00°. Symmetry generates all atoms from Na at (0.0000, 0.0000, 0.0000), As at (0.2500, 0.2500, 0.2500) and Pd at (0.0000, 0.0000, 0.5000).

The energy relative to the elements comes out at -0.157 eV/atom. The size of the total moment comes out at 0.0 μB/f.u. The calculation puts the uncorrected energy at -72.8 eV per cell.

***

# 9
Density functional theory data (GGA-PBEsol) for crystalline NaAs3Pt at its relaxed geometry.

The structure belongs to space group Pm-3m (No. 221); the cell edges are 4.9508, 4.9508 and 4.9508 Å and the angles 90.00°, 90.00° and 90.00°. Symmetry generates all atoms from Na at (0.0000, 0.0000, 0.0000), As at (0.0000, 0.5000, 0.5000) and Pt at (0.5000, 0.5000, 0.5000).

The energy relative to the elements comes out at 0.334 eV/atom. The size of the total moment comes out at 0.0 μB/f.u. The calculation puts the uncorrected energy at -22.0 eV per cell.

***

# 10
Density functional theory data (GGA-PBEsol) for crystalline NaAs2PtSe at its relaxed geometry.

The structure belongs to space group P4/mmm (No. 123); the cell edges are 4.7750, 4.7750 and 4.7770 Å and the angles 90.00°, 90.00° and 90.00°. Symmetry generates all atoms from Na at (0.0000, 0.0000, 0.0000), As at (0.0000, 0.5000, 0.0000), Pt at (0.5000, 0.5000, 0.5000) and Se at (0.0000, 0.0000, 0.5000).

The size of the total moment comes out at 0.0 μB/f.u. The calculation puts the uncorrected energy at -15.6 eV per cell. Its uncorrected formation energy is 1.365 eV per atom.

***

# 11
Density functional theory data (GGA-PBEsol) for crystalline RbNa2As2 at its relaxed geometry.

The structure belongs to space group I4/mmm (No. 139); the cell edges are 4.9419, 4.9419 and 11.5688 Å and the angles 90.00°, 90.00° and 90.00°. Symmetry generates all atoms from Rb at (0.0000, 0.0000, 0.0000), Na at (0.0000, 0.5000, 0.2500) and As at (0.0000, 0.0000, 0.3969).

The energy relative to the elements comes out at -0.336 eV/atom. The size of the total moment comes out at 0.0 μB/f.u. The calculation puts the uncorrected energy at -31.4 eV per cell.

***

# 12
Density functional theory data (GGA-PBEsol) for crystalline RbNaAsSe2 at its relaxed geometry.

The structure belongs to space group P4/mmm (No. 123); the cell edges are 5.9190, 5.9190 and 6.0951 Å and the angles 90.00°, 90.00° and 90.00°. Symmetry generates all atoms from Rb at (0.0000, 0.0000, 0.0000), Na at (0.5000, 0.5000, 0.5000), As at (0.0000, 0.0000, 0.5000) and Se at (0.0000, 0.5000, 0.0000).

The size of the total moment comes out at 3.1 μB/f.u. The calculation puts the uncorrected energy at -11.3 eV per cell. Its uncorrected formation energy is 0.779 eV per atom.

***

# 13
Density functional theory data (GGA-PBEsol) for crystalline Na3ReAs at its relaxed geometry.

The structure belongs to space group Pm-3m (No. 221); the cell edges are 5.4275, 5.4275 and 5.4275 Å and the angles 90.00°, 90.00° and 90.00°. Symmetry generates all atoms from Na at (0.0000, 0.0000, 0.5000), Re at (0.5000, 0.5000, 0.5000) and As at (0.0000, 0.0000, 0.0000).

The energy relative to the elements comes out at 1.299 eV/atom. The size of the total moment comes out at 5.0 μB/f.u. The calculation puts the uncorrected energy at -16.1 eV per cell.

***

# 14
Density functional theory data (GGA-PBEsol) for crystalline NaRe3As at its relaxed geometry.

The structure belongs to space group Pm-3m (No. 221); the cell edges are 4.5640, 4.5640 and 4.5640 Å and the angles 90.00°, 90.00° and 90.00°. Symmetry generates all atoms from Na at (0.0000, 0.0000, 0.0000), Re at (0.0000, 0.5000, 0.5000) and As at (0.5000, 0.5000, 0.5000).

The energy relative to the elements comes out at 1.800 eV/atom. The size of the total moment comes out at 0.0 μB/f.u. The calculation puts the uncorrected energy at -37.5 eV per cell.

***

# 15
Density functional theory data (GGA-PBEsol) for crystalline NaAsRh3 at its relaxed geometry.

The structure belongs to space group Pm-3m (No. 221); the cell edges are 4.5288, 4.5288 and 4.5288 Å and the angles 90.00°, 90.00° and 90.00°. Symmetry generates all atoms from Na at (0.0000, 0.0000, 0.0000), As at (0.5000, 0.5000, 0.5000) and Rh at (0.0000, 0.5000, 0.5000).

The energy relative to the elements comes out at 0.363 eV/atom. The size of the total moment comes out at 0.0 μB/f.u. The calculation puts the uncorrected energy at -29.1 eV per cell.

***

# 16
Density functional theory data (GGA-PBEsol) for crystalline Na2AsRh2 at its relaxed geometry.

The structure belongs to space group P4/mbm (No. 127); the cell edges are 6.0985, 6.0985 and 4.9283 Å and the angles 90.00°, 90.00° and 90.00°. Symmetry generates all atoms from Na at (0.1693, 0.3307, 0.0000), As at (0.0000, 0.0000, 0.5000) and Rh at (0.1476, 0.6476, 0.5000).

The energy relative to the elements comes out at -0.200 eV/atom. The size of the total moment comes out at 0.0 μB/f.u. The calculation puts the uncorrected energy at -50.4 eV per cell.

***

# 17
Density functional theory data (GGA-PBEsol) for crystalline Na2As2Rh at its relaxed geometry.

The structure belongs to space group P4/mbm (No. 127); the cell edges are 6.2575, 6.2575 and 4.8569 Å and the angles 90.00°, 90.00° and 90.00°. Symmetry generates all atoms from Na at (0.1786, 0.3214, 0.0000), As at (0.1391, 0.6391, 0.5000) and Rh at (0.0000, 0.0000, 0.5000).

The energy relative to the elements comes out at -0.475 eV/atom. The size of the total moment comes out at 0.0 μB/f.u. The calculation puts the uncorrected energy at -47.1 eV per cell.

***

# 18
Density functional theory data (GGA-PBEsol) for crystalline NaTcAsRh2 at its relaxed geometry.

The structure belongs to space group P4/mmm (No. 123); the cell edges are 4.3591, 4.3591 and 4.5033 Å and the angles 90.00°, 90.00° and 90.00°. Symmetry generates all atoms from Na at (0.0000, 0.0000, 0.0000), Tc at (0.5000, 0.5000, 0.5000), As at (0.0000, 0.0000, 0.5000) and Rh at (0.0000, 0.5000, 0.0000).

The energy relative to the elements comes out at 1.973 eV/atom. The size of the total moment comes out at 2.3 μB/f.u. The calculation puts the uncorrected energy at -24.2 eV per cell.

***

# 19
Density functional theory data (GGA-PBEsol) for crystalline NaAs2Ru at its relaxed geometry.

The structure belongs to space group Fm-3m (No. 225); the cell edges are 6.2648, 6.2648 and 6.2648 Å and the angles 90.00°, 90.00° and 90.00°. Symmetry generates all atoms from Na at (0.0000, 0.0000, 0.0000), As at (0.2500, 0.2500, 0.2500) and Ru at (0.0000, 0.0000, 0.5000).

The energy relative to the elements comes out at -0.031 eV/atom. The calculation puts the energy above the most stable polymorph in this dataset at 0.00 eV/f.u. The size of the total moment comes out at 0.0 μB/f.u. The calculation puts the uncorrected energy at -87.6 eV per cell.

***

# 20
Density functional theory data (GGA-PBEsol) for crystalline NaAs2Ru at its relaxed geometry.

The structure belongs to space group I-42d (No. 122); the cell edges are 6.4135, 6.4135 and 10.1739 Å and the angles 90.00°, 90.00° and 90.00°. Symmetry generates all atoms from Na at (0.0000, 0.0000, 0.0000), As at (0.1648, 0.2500, 0.6250) and Ru at (0.0000, 0.0000, 0.5000).

The energy relative to the elements comes out at 0.084 eV/atom. The calculation puts the energy above the most stable polymorph in this dataset at 0.46 eV/f.u. The size of the total moment comes out at 0.0 μB/f.u. The calculation puts the uncorrected energy at -85.8 eV per cell.